Record 1
Below is a relaxed structure of Pm2S3, with properties calculated at the PBE level.

Calculated values
Space-group type ... No. 12
Offset from the most stable computed form ... 85 meV/atom

a b c (Å): 4.514 4.514 7.192
angles (deg): 90.42 90.42 59.34
Atoms (fractional coordinates):
S 0.666 0.666 0.642
Pm 0.665 0.665 0.242
S 0.000 0.000 0.000
S 0.334 0.334 0.358
Pm 0.335 0.335 0.758

Record 2
Below is a relaxed structure of Zr6Al7Cu16H9, with properties calculated at the PBE level.

Calculated values
Uncorrected energy ... -4.721 eV per atom
Space-group type ... No. 225

a b c (Å): 8.526 8.526 8.526
angles (deg): 120.00 90.00 120.00
Atoms (fractional coordinates):
Cu 0.526 0.351 0.175
Al 0.500 0.000 0.000
H 0.718 0.812 0.906
Cu 0.380 0.239 0.620
Cu 0.141 0.761 0.380
Zr 0.798 0.595 0.798
Cu 0.175 0.351 0.526
Al 0.000 0.500 0.500
Zr 0.798 0.000 0.202
H 0.094 0.188 0.282
H 0.094 0.188 0.906
Cu 0.859 0.239 0.620
H 0.000 0.000 0.000
Cu 0.825 0.649 0.175
Al 0.500 0.500 0.500
Cu 0.175 0.351 0.825
Al 0.000 0.500 0.000
Zr 0.798 0.000 0.798
H 0.282 0.188 0.094
Cu 0.620 0.239 0.380
Cu 0.620 0.761 0.380
Zr 0.202 0.000 0.798
H 0.906 0.812 0.094
Cu 0.175 0.649 0.825
Cu 0.380 0.761 0.620
Al 0.500 0.000 0.500
H 0.906 0.188 0.094
Al 0.500 0.500 0.000
H 0.094 0.812 0.906
Cu 0.380 0.761 0.141
Cu 0.474 0.649 0.825
H 0.906 0.812 0.718
Zr 0.202 0.405 0.202
Cu 0.825 0.351 0.175
Cu 0.620 0.239 0.859
Cu 0.825 0.649 0.474
Al 0.000 0.000 0.500
Zr 0.202 0.000 0.202

Record 3
Below is a relaxed structure of WSe2S2Br, with properties calculated at the PBE level.

Calculated values
Space-group type ... No. 2
Offset from the most stable computed form ... 51 meV/atom

a b c (Å): 6.277 7.775 7.977
angles (deg): 62.25 66.87 83.52
Atoms (fractional coordinates):
Br 0.263 0.229 0.411
Se 0.027 0.313 0.860
S 0.120 0.912 0.783
Br 0.737 0.771 0.589
Se 0.973 0.687 0.140
Se 0.618 0.209 0.705
W 0.777 0.000 0.000
W 0.223 0.000 0.000
S 0.880 0.088 0.217
S 0.531 0.764 0.005
Se 0.382 0.791 0.295
S 0.469 0.236 0.995

Record 4
Below is a relaxed structure of LiSm2TaO6, with properties calculated at the PBE level.

Calculated values
Uncorrected energy ... -8.389 eV per atom
Space-group type ... No. 14

a b c (Å): 5.407 5.767 9.340
angles (deg): 90.00 124.27 90.00
Atoms (fractional coordinates):
Li 0.000 0.000 0.000
O 0.147 0.817 0.448
O 0.147 0.683 0.948
Ta 0.500 0.000 0.500
O 0.633 0.041 0.745
O 0.740 0.792 0.060
Li 0.000 0.500 0.500
O 0.853 0.317 0.052
O 0.853 0.183 0.552
O 0.740 0.708 0.560
Sm 0.770 0.431 0.752
Sm 0.230 0.569 0.248
Ta 0.500 0.500 0.000
O 0.633 0.459 0.245
Sm 0.770 0.069 0.252
O 0.260 0.208 0.940
O 0.367 0.541 0.755
O 0.367 0.959 0.255
O 0.260 0.292 0.440
Sm 0.230 0.931 0.748

Record 5
Below is a relaxed structure of ZnPd19, with properties calculated at the PBE level.

Calculated values
Space-group type ... No. 11
Offset from the most stable computed form ... 0 meV/atom
DFT formation energy ... 6 meV per atom

a b c (Å): 5.553 2.794 52.089
angles (deg): 90.00 90.00 90.00
Atoms (fractional coordinates):
Pd 0.126 0.750 0.253
Pd 0.875 0.250 0.595
Pd 0.875 0.250 0.367
Pd 0.626 0.750 0.176
Pd 0.125 0.750 0.862
Pd 0.375 0.250 0.595
Pd 0.125 0.750 0.785
Pd 0.874 0.250 0.747
Pd 0.875 0.250 0.291
Pd 0.124 0.750 0.176
Pd 0.875 0.250 0.519
Pd 0.125 0.750 0.329
Pd 0.376 0.250 0.747
Pd 0.875 0.250 0.138
Pd 0.125 0.750 0.405
Pd 0.125 0.750 0.709
Pd 0.875 0.250 0.215
Pd 0.375 0.250 0.215
Pd 0.876 0.250 0.824
Pd 0.375 0.250 0.671
Pd 0.625 0.750 0.709
Pd 0.875 0.250 0.443
Zn 0.375 0.250 0.143
Pd 0.125 0.750 0.633
Pd 0.625 0.750 0.785
Zn 0.625 0.750 0.857
Pd 0.125 0.750 0.557
Pd 0.625 0.750 0.557
Pd 0.625 0.750 0.481
Pd 0.125 0.750 0.481
Pd 0.624 0.750 0.253
Pd 0.625 0.750 0.633
Pd 0.625 0.750 0.329
Pd 0.375 0.250 0.291
Pd 0.375 0.250 0.519
Pd 0.374 0.250 0.824
Pd 0.875 0.250 0.671
Pd 0.375 0.250 0.443
Pd 0.375 0.250 0.367
Pd 0.625 0.750 0.405

Record 6
Below is a relaxed structure of K2Co3S4, with properties calculated at the PBE level.

Calculated values
Uncorrected energy ... -5.126 eV per atom
Space-group type ... No. 70

a b c (Å): 14.239 13.660 5.660
angles (deg): 84.11 72.60 23.29
Atoms (fractional coordinates):
S 0.884 0.226 0.782
Co 0.249 0.249 0.751
Co 0.499 0.499 0.001
S 0.226 0.884 0.107
K 0.672 0.672 0.828
S 0.143 0.468 0.024
S 0.366 0.024 0.468
K 0.578 0.578 0.422
S 0.024 0.366 0.143
K 0.422 0.422 0.578
S 0.107 0.782 0.226
K 0.828 0.828 0.672
Co 0.751 0.751 0.249
Co 0.000 0.000 0.000
S 0.468 0.143 0.366
S 0.782 0.107 0.884
Co 0.001 0.001 0.499
Co 0.250 0.250 0.250

Record 7
Below is a relaxed structure of GdY2Mg3CuPd2, with properties calculated at the PBE level.

Calculated values
Uncorrected energy ... -4.573 eV per atom
Space-group type ... No. 38

a b c (Å): 4.031 7.468 7.468
angles (deg): 119.90 90.00 90.00
Atoms (fractional coordinates):
Pd 0.000 0.333 0.667
Mg 0.000 0.001 0.756
Mg 0.000 0.756 0.001
Gd 0.500 0.588 0.588
Y 0.500 0.412 0.000
Mg 0.000 0.243 0.243
Pd 0.000 0.667 0.333
Cu 0.500 0.000 0.000
Y 0.500 0.000 0.412

Record 8
Below is a relaxed structure of CoSi3Ir, with properties calculated at the PBE level.

Calculated values
Uncorrected energy ... -6.391 eV per atom
Space-group type ... No. 107

a b c (Å): 6.023 6.023 6.023
angles (deg): 143.33 143.33 52.83
Atoms (fractional coordinates):
Si 0.446 0.446 0.000
Si 0.292 0.792 0.500
Si 0.792 0.292 0.500
Co 0.922 0.922 0.000
Ir 0.663 0.663 0.000

Record 9
Below is a relaxed structure of Ta4AlGaN2, with properties calculated at the PBE level.

Calculated values
Uncorrected energy ... -9.494 eV per atom
Space-group type ... No. 187

a b c (Å): 2.977 2.977 14.438
angles (deg): 90.00 90.00 120.00
Atoms (fractional coordinates):
Ga 0.333 0.667 0.000
Al 0.000 0.000 0.500
Ta 0.000 0.000 0.846
N 0.667 0.333 0.250
Ta 0.000 0.000 0.154
Ta 0.333 0.667 0.345
N 0.667 0.333 0.750
Ta 0.333 0.667 0.655

Record 10
Below is a relaxed structure of HfBeFe2, with properties calculated at the PBE level.

Calculated values
Uncorrected energy ... -7.568 eV per atom
Space-group type ... No. 216

a b c (Å): 4.192 4.192 4.192
angles (deg): 60.00 60.00 60.00
Atoms (fractional coordinates):
Be 0.500 0.500 0.500
Fe 0.750 0.750 0.750
Hf 0.250 0.250 0.250
Fe 0.000 0.000 0.000